No. 1
MnZnCu2Ni | GGA-PBE | optimized geometry

a b c (Å): 4.449 4.554 4.449
angles (deg): 90.00 90.00 90.00
Element x y z (fractional)
Ni 0.500 0.500 0.500
Zn 0.000 0.500 0.000
Mn 0.000 0.000 0.000
Cu 0.000 0.000 0.500
Cu 0.500 0.000 0.000

Values from the calculation:
magnetic moment	4.04	μB per formula unit
density of states at the Fermi level	3.78	states/eV per cell
symmetry	P4/mmm, No. 123
E_form	1.228	eV/atom

=====

No. 2
SrUBr6 | GGA-PBE | optimized geometry

a b c (Å): 7.298 7.295 7.942
angles (deg): 62.68 62.69 60.03
Element x y z (fractional)
Sr 0.500 0.500 0.500
U 0.000 0.000 0.000
Br 0.073 0.396 0.760
Br 0.770 0.073 0.761
Br 0.604 0.229 0.239
Br 0.230 0.927 0.239
Br 0.927 0.604 0.240
Br 0.396 0.771 0.761

Values from the calculation:
magnetic moment	2.00	μB per formula unit
formation energy without anion corrections	-1.59	eV/atom
density of states at the Fermi level	4.31	states/eV per cell
symmetry	R-3, No. 148